Material: Ho3ThRu3
Method: DFT, PBE
State: optimized geometry

Results
- Size of the total moment: 0.000 μB/atom
- ρ: 10.7 g cm⁻³
- Offset from the most stable computed form: 0.35 eV/f.u.
- E_form: -392 meV/atom

Structure (POSCAR):
```
Ho3ThRu3
1.0
4.964 -4.736 0.000
4.964 4.736 0.000
-0.009 0.000 6.789
Ho Th Ru
6 2 6
direct
0.246 0.754 0.000 Ho
0.252 0.748 0.500 Ho
0.261 0.261 0.999 Ho
0.739 0.739 0.001 Ho
0.748 0.252 0.500 Ho
0.754 0.246 0.000 Ho
0.248 0.248 0.499 Th
0.752 0.752 0.501 Th
0.000 0.500 0.261 Ru
0.000 0.500 0.739 Ru
0.500 0.000 0.261 Ru
0.500 0.000 0.739 Ru
0.500 0.500 0.251 Ru
0.500 0.500 0.749 Ru
```